Entry 1:
Density functional theory data (meta-GGA SCAN) for Rb2NaYCl6 at its PBEsol-relaxed geometry. Values from VASP.

Quantum ESPRESSO input file:
```
&SYSTEM
  ibrav = 0, nat = 10, ntyp = 4
/
ATOMIC_SPECIES
Rb 85.47 Rb.upf
Na 22.99 Na.upf
Y 88.91 Y.upf
Cl 35.45 Cl.upf
CELL_PARAMETERS angstrom
-4.5375 -5.6974 1.6743
0.9828 -3.8186 6.3487
-4.9415 0.6697 5.5666
ATOMIC_POSITIONS angstrom
Rb -6.3722 -6.6348 10.1922
Rb -2.1241 -2.2116 3.3974
Na -4.2481 -4.4232 6.7948
Y 0.0000 0.0000 0.0000
Cl -4.3954 -5.0718 4.1885
Cl -3.8952 -7.0154 7.4199
Cl -4.1008 -3.7746 9.4010
Cl -6.9105 -4.7309 7.0218
Cl -1.5857 -4.1155 6.5677
Cl -4.6010 -1.8310 6.1696
```

magnetic moment	0.0	μB per formula unit
formation energy from raw total energies	-2357	meV per atom
density of states at the Fermi level	0.00	states/eV per cell


Entry 2:
Density functional theory data (meta-GGA SCAN) for NaReCl3 at its PBEsol-relaxed geometry. Values from VASP.

Quantum ESPRESSO input file:
```
&SYSTEM
  ibrav = 0, nat = 5, ntyp = 3
/
ATOMIC_SPECIES
Re 186.21 Re.upf
Na 22.99 Na.upf
Cl 35.45 Cl.upf
CELL_PARAMETERS angstrom
4.8233 0.0000 0.0000
0.0000 4.8233 0.0000
0.0000 0.0000 4.8233
ATOMIC_POSITIONS angstrom
Re 0.0000 0.0000 0.0000
Na 2.4117 2.4117 2.4117
Cl 0.0000 2.4117 0.0000
Cl 0.0000 0.0000 2.4117
Cl 2.4117 0.0000 0.0000
```

magnetic moment	2.3	μB per formula unit
formation energy from raw total energies	-402	meV per atom
density of states at the Fermi level	1.88	states/eV per cell


Entry 3:
Density functional theory data (meta-GGA SCAN) for NaRe3Cl at its PBEsol-relaxed geometry. Values from VASP.

Quantum ESPRESSO input file:
```
&SYSTEM
  ibrav = 0, nat = 5, ntyp = 3
/
ATOMIC_SPECIES
Re 186.21 Re.upf
Na 22.99 Na.upf
Cl 35.45 Cl.upf
CELL_PARAMETERS angstrom
4.5644 0.0000 0.0000
0.0000 4.5644 0.0000
0.0000 0.0000 4.5644
ATOMIC_POSITIONS angstrom
Re 0.0000 2.2822 0.0000
Re 0.0000 0.0000 2.2822
Re 2.2822 0.0000 0.0000
Na 0.0000 0.0000 0.0000
Cl 2.2822 2.2822 2.2822
```

magnetic moment	6.7	μB per formula unit
formation energy from raw total energies	3738	meV per atom
density of states at the Fermi level	4.91	states/eV per cell


Entry 4:
Density functional theory data (meta-GGA SCAN) for NaTa2ReCl at its PBEsol-relaxed geometry. Values from VASP.

Quantum ESPRESSO input file:
```
&SYSTEM
  ibrav = 0, nat = 5, ntyp = 4
/
ATOMIC_SPECIES
Re 186.21 Re.upf
Cl 35.45 Cl.upf
Na 22.99 Na.upf
Ta 180.95 Ta.upf
CELL_PARAMETERS angstrom
-1.0356 -0.5839 -3.9092
4.1106 -2.4364 -0.7250
-2.2274 -4.1166 1.2049
ATOMIC_POSITIONS angstrom
Re 0.4238 -3.5684 -1.7147
Cl -0.5178 -0.2919 -1.9546
Na 0.0000 0.0000 0.0000
Ta -1.1137 -2.0583 0.6025
Ta 2.0553 -1.2182 -0.3625
```

magnetic moment	0.9	μB per formula unit
formation energy from raw total energies	2589	meV per atom
density of states at the Fermi level	4.44	states/eV per cell


Entry 5:
Density functional theory data (meta-GGA SCAN) for NaRhCl2 at its PBEsol-relaxed geometry. Values from VASP.

Quantum ESPRESSO input file:
```
&SYSTEM
  ibrav = 0, nat = 4, ntyp = 3
/
ATOMIC_SPECIES
Na 22.99 Na.upf
Rh 102.91 Rh.upf
Cl 35.45 Cl.upf
CELL_PARAMETERS angstrom
3.7962 0.0000 0.0000
1.8981 3.2876 0.0000
1.8981 1.0959 7.5914
ATOMIC_POSITIONS angstrom
Na 0.0000 0.0000 0.0000
Rh 3.7962 2.1917 3.7957
Cl 5.6943 3.2876 2.5916
Cl 1.8981 1.0959 4.9998
```

magnetic moment	1.9	μB per formula unit
formation energy from raw total energies	-561	meV per atom
density of states at the Fermi level	1.49	states/eV per cell


Entry 6:
Density functional theory data (meta-GGA SCAN) for Na2SrRuCl at its PBEsol-relaxed geometry. Values from VASP.

Quantum ESPRESSO input file:
```
&SYSTEM
  ibrav = 0, nat = 5, ntyp = 4
/
ATOMIC_SPECIES
Ru 101.07 Ru.upf
Cl 35.45 Cl.upf
Na 22.99 Na.upf
Sr 87.62 Sr.upf
CELL_PARAMETERS angstrom
4.9177 0.0000 0.0000
0.0000 4.9177 0.0000
0.0000 0.0000 5.7265
ATOMIC_POSITIONS angstrom
Ru 2.4589 2.4589 2.8633
Cl 0.0000 0.0000 0.0000
Na 0.0000 2.4589 0.0000
Na 2.4589 0.0000 0.0000
Sr 0.0000 0.0000 2.8633
```

magnetic moment	1.6	μB per formula unit
formation energy from raw total energies	-49	meV per atom
density of states at the Fermi level	2.19	states/eV per cell


Entry 7:
Density functional theory data (meta-GGA SCAN) for NaS2Cl2 at its PBEsol-relaxed geometry. Values from VASP.

Quantum ESPRESSO input file:
```
&SYSTEM
  ibrav = 0, nat = 5, ntyp = 3
/
ATOMIC_SPECIES
Na 22.99 Na.upf
S 32.06 S.upf
Cl 35.45 Cl.upf
CELL_PARAMETERS angstrom
-2.1855 -1.3589 4.8263
-1.3494 -2.9365 -4.5372
1.9109 -5.0933 -0.5688
ATOMIC_POSITIONS angstrom
Na 0.0000 0.0000 0.0000
S -0.9214 -3.4729 1.7042
S -0.7026 -5.9158 -1.9839
Cl -0.8806 -6.3074 0.9246
Cl -0.7433 -3.0813 -1.2042
```

magnetic moment	0.0	μB per formula unit
formation energy from raw total energies	-437	meV per atom
density of states at the Fermi level	2.91	states/eV per cell


Entry 8:
Density functional theory data (meta-GGA SCAN) for Na3SCl at its PBEsol-relaxed geometry. Values from VASP.

Quantum ESPRESSO input file:
```
&SYSTEM
  ibrav = 0, nat = 5, ntyp = 3
/
ATOMIC_SPECIES
Na 22.99 Na.upf
S 32.06 S.upf
Cl 35.45 Cl.upf
CELL_PARAMETERS angstrom
5.1709 0.0000 0.0000
0.0000 5.1709 0.0000
0.0000 0.0000 5.1709
ATOMIC_POSITIONS angstrom
Na 0.0000 2.5854 0.0000
Na 0.0000 0.0000 2.5854
Na 2.5854 0.0000 0.0000
S 0.0000 0.0000 0.0000
Cl 2.5854 2.5854 2.5854
```

magnetic moment	0.0	μB per formula unit
formation energy from raw total energies	-1361	meV per atom
density of states at the Fermi level	0.00	states/eV per cell


Entry 9:
Density functional theory data (meta-GGA SCAN) for NaSbSCl2 at its PBEsol-relaxed geometry. Values from VASP.

Quantum ESPRESSO input file:
```
&SYSTEM
  ibrav = 0, nat = 5, ntyp = 4
/
ATOMIC_SPECIES
Sb 121.76 Sb.upf
S 32.06 S.upf
Na 22.99 Na.upf
Cl 35.45 Cl.upf
CELL_PARAMETERS angstrom
4.6829 0.0000 0.0000
0.0000 4.6829 0.0000
0.0000 0.0000 5.1783
ATOMIC_POSITIONS angstrom
Sb 2.3414 2.3414 2.5892
S 0.0000 0.0000 2.5892
Na 0.0000 0.0000 0.0000
Cl 0.0000 2.3414 0.0000
Cl 2.3414 0.0000 0.0000
```

magnetic moment	0.1	μB per formula unit
formation energy from raw total energies	-178	meV per atom
density of states at the Fermi level	2.52	states/eV per cell


Entry 10:
Density functional theory data (meta-GGA SCAN) for NaSeSCl2 at its PBEsol-relaxed geometry. Values from VASP.

Quantum ESPRESSO input file:
```
&SYSTEM
  ibrav = 0, nat = 5, ntyp = 4
/
ATOMIC_SPECIES
Na 22.99 Na.upf
S 32.06 S.upf
Se 78.96 Se.upf
Cl 35.45 Cl.upf
CELL_PARAMETERS angstrom
-3.7546 -1.9107 -2.2369
-2.1077 -0.7830 4.2067
-2.2766 4.7697 -0.2529
ATOMIC_POSITIONS angstrom
Na 0.0000 0.0000 0.0000
S -1.1383 2.3848 -0.1264
Se -4.0695 1.0380 0.8585
Cl -1.0539 -0.3915 2.1033
Cl -1.8773 -0.9554 -1.1184
```

magnetic moment	1.0	μB per formula unit
formation energy from raw total energies	273	meV per atom
density of states at the Fermi level	2.58	states/eV per cell


Entry 11:
Density functional theory data (meta-GGA SCAN) for NaSrS2Cl at its PBEsol-relaxed geometry. Values from VASP.

Quantum ESPRESSO input file:
```
&SYSTEM
  ibrav = 0, nat = 5, ntyp = 4
/
ATOMIC_SPECIES
Sr 87.62 Sr.upf
S 32.06 S.upf
Na 22.99 Na.upf
Cl 35.45 Cl.upf
CELL_PARAMETERS angstrom
5.5590 0.0000 0.0000
0.0000 5.6184 0.0000
0.0000 0.0000 5.6184
ATOMIC_POSITIONS angstrom
Sr 0.0000 0.0000 0.0000
S 0.0000 0.0000 2.8092
S 0.0000 2.8092 0.0000
Na 2.7795 2.8092 2.8092
Cl 2.7795 0.0000 0.0000
```

magnetic moment	2.0	μB per formula unit
formation energy from raw total energies	-915	meV per atom
density of states at the Fermi level	5.34	states/eV per cell


Entry 12:
Density functional theory data (meta-GGA SCAN) for NaTlS2Cl at its PBEsol-relaxed geometry. Values from VASP.

Quantum ESPRESSO input file:
```
&SYSTEM
  ibrav = 0, nat = 5, ntyp = 4
/
ATOMIC_SPECIES
Na 22.99 Na.upf
Tl 204.38 Tl.upf
S 32.06 S.upf
Cl 35.45 Cl.upf
CELL_PARAMETERS angstrom
-1.7220 3.9964 2.4949
-3.7715 -2.7613 1.8199
3.0912 -1.3698 4.3279
ATOMIC_POSITIONS angstrom
Na -1.2012 -0.0673 4.3213
Tl 0.0000 0.0000 0.0000
S -1.8858 -1.3806 0.9099
S -0.8610 1.9982 1.2474
Cl 1.5456 -0.6849 2.1640
```

magnetic moment	0.0	μB per formula unit
formation energy from raw total energies	-272	meV per atom
density of states at the Fermi level	3.84	states/eV per cell